Entry from Alexandria: a relaxed Ba2AlSb crystal (PBE-GGA).

Structure (CIF):
```
data_Ba2AlSb
_chemical_formula_sum 'Ba4 Al2 Sb2'
_symmetry_space_group_name_H-M 'A m m 2'
_symmetry_Int_Tables_number 38
_symmetry_space_group_name_Hall 'A 2 -2'
_cell_length_a 4.5833
_cell_length_b 5.2678
_cell_length_c 12.6782
_cell_angle_alpha 90.00
_cell_angle_beta 90.00
_cell_angle_gamma 90.00
loop_
_atom_site_label
_atom_site_type_symbol
_atom_site_fract_x
_atom_site_fract_y
_atom_site_fract_z
Ba1 Ba 0.0000 0.0000 0.0000
Ba2 Ba 0.5000 0.0000 0.2782
Al1 Al 0.5000 0.0000 0.5679
Sb1 Sb 0.0000 0.0000 0.7059
```

## Properties
The value obtained for the energy relative to the elements, uncorrected is -0.610 eV per atom. Its energy above the lowest structure with this stoichiometry is 0 meV per atom.